Entry from the Alexandria database: a relaxed NaFeIO2 crystal (PBE+U).

Electronic total energy   -4.375 eV/atom

abc: 3.967 3.967 6.100
angles: 90.00 90.00 90.00
Sites, in units of the cell vectors:
Na 0.000 0.000 0.000
Fe 0.500 0.500 0.500
I 0.500 0.500 0.000
O 0.000 0.500 0.500
O 0.500 0.000 0.500



Entry from the Alexandria database: a relaxed NaFeI2O crystal (PBE+U).

Electronic total energy   -2.655 eV/atom

abc: 5.759 5.759 4.201
angles: 90.00 90.00 90.00
Sites, in units of the cell vectors:
Na 0.000 0.000 0.000
Fe 0.500 0.500 0.500
I 0.000 0.500 0.000
I 0.500 0.000 0.000
O 0.000 0.000 0.500



Entry from the Alexandria database: a relaxed Na2FeIO4 crystal (PBE+U).

Electronic total energy   -4.792 eV/atom

abc: 6.091 6.091 6.293
angles: 90.00 90.00 90.00
Sites, in units of the cell vectors:
Na 0.000 0.000 0.000
Na 0.000 0.500 0.250
Na 0.500 0.000 0.750
Na 0.500 0.500 0.500
Fe 0.000 0.000 0.500
Fe 0.500 0.500 0.000
I 0.000 0.500 0.750
I 0.500 0.000 0.250
O 0.152 0.184 0.701
O 0.184 0.848 0.299
O 0.316 0.652 0.799
O 0.348 0.316 0.201
O 0.652 0.684 0.201
O 0.684 0.348 0.799
O 0.816 0.152 0.299
O 0.848 0.816 0.701



Entry from the Alexandria database: a relaxed NaFeI2O crystal (PBE+U).

Electronic total energy   -3.721 eV/atom

abc: 5.903 5.903 3.752
angles: 90.00 90.00 90.00
Sites, in units of the cell vectors:
Na 0.000 0.000 0.000
Fe 0.500 0.500 0.500
I 0.000 0.500 0.500
I 0.500 0.000 0.500
O 0.500 0.500 0.000



Entry from the Alexandria database: a relaxed NaFeIO2 crystal (PBE+U).

Electronic total energy   -3.263 eV/atom

abc: 4.253 4.253 5.764
angles: 90.00 90.00 90.00
Sites, in units of the cell vectors:
Na 0.000 0.000 0.000
Fe 0.500 0.500 0.500
I 0.000 0.000 0.500
O 0.000 0.500 0.000
O 0.500 0.000 0.000



Entry from the Alexandria database: a relaxed NaFeIO6 crystal (PBE+U).

Electronic total energy   -4.970 eV/atom

abc: 4.852 4.852 9.353
angles: 90.00 90.00 90.00
Sites, in units of the cell vectors:
Na 0.000 0.000 0.000
Na 0.500 0.500 0.500
Fe 0.000 0.000 0.670
Fe 0.500 0.500 0.170
I 0.000 0.000 0.338
I 0.500 0.500 0.838
O 0.177 0.177 0.493
O 0.202 0.202 0.198
O 0.224 0.224 0.817
O 0.276 0.724 0.317
O 0.298 0.702 0.698
O 0.323 0.677 0.993
O 0.677 0.323 0.993
O 0.702 0.298 0.698
O 0.724 0.276 0.317
O 0.776 0.776 0.817
O 0.798 0.798 0.198
O 0.823 0.823 0.493